# TcRh2Br (PBE-GGA, relaxed)
data_TcRh2Br
_chemical_formula_sum 'Tc1 Rh2 Br1'
_symmetry_space_group_name_H-M 'P 1'
_symmetry_Int_Tables_number 1
_symmetry_space_group_name_Hall 'P 1'
_cell_length_a 4.816
_cell_length_b 4.816
_cell_length_c 2.852
_cell_angle_alpha 90.00
_cell_angle_beta 90.00
_cell_angle_gamma 110.37
loop_
_atom_site_label
_atom_site_type_symbol
_atom_site_fract_x
_atom_site_fract_y
_atom_site_fract_z
Tc1 Tc 0.000 0.000 0.000
Rh1 Rh 0.000 0.500 0.500
Rh2 Rh 0.500 0.000 0.500
Br1 Br 0.500 0.500 0.000
# **Space-group type**: Cmmm, No. 65
# **ΔE_f (raw)**: 702 meV/atom
# **Total magnetization**: 0.00 Bohr magnetons per cell
# **Calculated volume**: 15.5 A^3/atom
# **Uncorrected energy**: -5.983 eV/atom
# **Fermi-level density of states**: 1.12 states/eV per atom


# ZrAuSe2 (PBE-GGA, relaxed)
data_ZrAuSe2
_chemical_formula_sum 'Zr2 Au2 Se4'
_symmetry_space_group_name_H-M 'P 1'
_symmetry_Int_Tables_number 1
_symmetry_space_group_name_Hall 'P 1'
_cell_length_a 7.248
_cell_length_b 7.248
_cell_length_c 7.248
_cell_angle_alpha 129.15
_cell_angle_beta 129.15
_cell_angle_gamma 74.76
loop_
_atom_site_label
_atom_site_type_symbol
_atom_site_fract_x
_atom_site_fract_y
_atom_site_fract_z
Zr1 Zr 0.000 0.000 0.000
Zr2 Zr 0.750 0.250 0.500
Au1 Au 0.250 0.750 0.500
Au2 Au 0.500 0.500 0.000
Se1 Se 0.120 0.625 0.995
Se2 Se 0.375 0.370 0.495
Se3 Se 0.630 0.125 0.005
Se4 Se 0.875 0.880 0.505
# **Space-group type**: I-42d, No. 122
# **ΔE_f (raw)**: -479 meV/atom
# **Total magnetization**: 1.13 Bohr magnetons per cell
# **Calculated volume**: 27.9 A^3/atom
# **Uncorrected energy**: -5.178 eV/atom
# **Fermi-level density of states**: 0.96 states/eV per atom


Number 1: energy above the lowest structure with this stoichiometry 140 kJ/mol of formula units. Number 2: energy above the lowest structure with this stoichiometry 128 kJ/mol of formula units.